Entry from Alexandria via LeMat-Bulk: a relaxed structure of NiPbC2O (GGA+U).

Output
DOS at the Fermi energy = 0.560 states/eV per atom
space-group type = P4/mmm, No. 123
electronic total energy = -4.54 eV per atom

a b c (Å): 3.5019 3.5019 6.5051
angles (deg): 90.00 90.00 90.00
Fractional coordinates of all 5 atoms:
Ni1 0.0000 0.0000 0.0000
Pb1 0.0000 0.0000 0.5000
C1 0.0000 0.5000 0.0000
C2 0.5000 0.0000 0.0000
O1 0.5000 0.5000 0.5000